(1)
Entry from the Alexandria database: YNb2SiC at its PBEsol-relaxed geometry (meta-GGA SCAN).

## Properties
DFT total energy   -98.0 eV for the cell shown
DOS at the Fermi energy   4.2 states/eV per cell

```
data_YNb2SiC
_chemical_formula_sum 'Y1 Nb2 Si1 C1'
_space_group_name_H-M_alt 'P 1'
_space_group_IT_number 1
_cell_length_a 4.869
_cell_length_b 4.869
_cell_length_c 4.910
_cell_angle_alpha 90.00
_cell_angle_beta 90.00
_cell_angle_gamma 90.00
loop_
_space_group_symop_operation_xyz
'x,y,z'
loop_
_atom_site_label
_atom_site_type_symbol
_atom_site_fract_x
_atom_site_fract_y
_atom_site_fract_z
Si1 Si 0.000 0.000 0.500
C1 C 0.500 0.500 0.500
Nb1 Nb 0.500 0.000 0.000
Nb2 Nb 0.000 0.500 0.000
Y1 Y 0.000 0.000 0.000
```

=====

(2)
Entry from the Alexandria database: TaNbC2 at its PBEsol-relaxed geometry (meta-GGA SCAN).

## Properties
Excess energy over the best structure of this formula in the dataset   1.0366 eV/atom
DOS at the Fermi energy   2.1 states/eV per cell
Formation energy from the elements   0.485 eV per atom

```
data_TaNbC2
_chemical_formula_sum 'Ta1 Nb1 C2'
_space_group_name_H-M_alt 'P 1'
_space_group_IT_number 1
_cell_length_a 3.927
_cell_length_b 3.927
_cell_length_c 3.927
_cell_angle_alpha 60.00
_cell_angle_beta 60.00
_cell_angle_gamma 60.00
loop_
_space_group_symop_operation_xyz
'x,y,z'
loop_
_atom_site_label
_atom_site_type_symbol
_atom_site_fract_x
_atom_site_fract_y
_atom_site_fract_z
Nb1 Nb 0.000 0.000 0.000
Ta1 Ta 0.500 0.500 0.500
C1 C 0.250 0.250 0.250
C2 C 0.750 0.750 0.750
```